A plane-wave DFT calculation with GGA+U was carried out for a relaxed K3NiPCO7 crystal.

The value obtained for the volume is 368.9 Å³ per cell. The value obtained for the uncorrected energy is -6.137 eV/atom.

a = 5.637 Å, b = 6.875 Å, c = 9.520 Å
α = 90.00°, β = 90.01°, γ = 90.00°
Space group P2_1/m (No. 11)
Symmetry-distinct sites (fractional):
K1 0.249 0.011 0.201 (multiplicity 4)
K2 0.251 0.750 0.569 (multiplicity 2)
Ni1 0.250 0.250 0.847 (multiplicity 2)
P1 0.249 0.750 0.919 (multiplicity 2)
C1 0.249 0.250 0.583 (multiplicity 2)
O1 0.021 0.750 0.011 (multiplicity 2)
O2 0.052 0.250 0.656 (multiplicity 2)
O3 0.249 0.250 0.448 (multiplicity 2)
O4 0.251 0.566 0.823 (multiplicity 4)
O5 0.447 0.250 0.655 (multiplicity 2)
O6 0.473 0.750 0.014 (multiplicity 2)